Entry 1:
Nd5Dy3Tl | GGA-PBE | relaxed

Output
D(E_F)	1.3431	states/eV/atom
calculated formation energy	0.383	eV per atom
size of the total moment	0.28	μB/f.u.
calculated volume	637.6	Å³/cell

Unit cell a=8.0175 b=8.0175 c=11.4313 alpha=84.61 beta=84.61 gamma=60.80
Element x y z (fractional)
Nd 0.9127 0.3387 0.2468
Nd 0.3310 0.6690 0.0000
Nd 0.7622 0.7622 0.0382
Nd 0.4915 0.4915 0.3708
Nd 0.5085 0.5085 0.6292
Nd 0.2378 0.2378 0.9618
Nd 0.3387 0.9127 0.2468
Nd 0.6690 0.3310 0.0000
Nd 0.0873 0.6613 0.7532
Nd 0.6613 0.0873 0.7532
Dy 0.6697 0.6697 0.7830
Dy 0.7427 0.7427 0.4746
Dy 0.0000 0.0000 0.0000
Dy 0.0000 0.0000 0.5000
Dy 0.3303 0.3303 0.2170
Dy 0.2573 0.2573 0.5254
Tl 0.0965 0.0965 0.7402
Tl 0.9035 0.9035 0.2598

***

Entry 2:
Nd2Dy3Tl3 | GGA-PBE | relaxed

Output
D(E_F)	0.9245	states/eV/atom
calculated formation energy	-0.249	eV per atom
size of the total moment	0.00	μB/f.u.
E above lowest polymorph	0	meV/atom
calculated volume	231.5	Å³/cell

Unit cell a=4.5253 b=4.9537 c=10.8585 alpha=103.19 beta=102.03 gamma=90.00
Element x y z (fractional)
Nd 0.2602 0.7602 0.5203
Nd 0.7398 0.2398 0.4797
Dy 0.3832 0.3832 0.7665
Dy 0.6168 0.6168 0.2335
Dy 0.5000 0.0000 0.0000
Tl 0.8763 0.8763 0.7526
Tl 0.0000 0.5000 0.0000
Tl 0.1237 0.1237 0.2474

***

Entry 3:
Nd3Dy4Tl | GGA-PBE | relaxed

Output
D(E_F)	1.0565	states/eV/atom
calculated formation energy	-0.076	eV per atom
size of the total moment	0.00	μB/f.u.
E above lowest polymorph	0	meV/atom
calculated volume	507.1	Å³/cell

Unit cell a=6.2671 b=7.1413 c=11.3303 alpha=90.00 beta=90.00 gamma=90.00
Element x y z (fractional)
Nd 0.6246 0.6290 0.0000
Nd 0.9740 0.6160 0.2368
Nd 0.4740 0.3840 0.2632
Nd 0.1246 0.3710 0.5000
Nd 0.4740 0.3840 0.7368
Nd 0.9740 0.6160 0.7632
Dy 0.1673 0.8817 0.0000
Dy 0.6448 0.1286 0.0000
Dy 0.9884 0.1237 0.2392
Dy 0.4884 0.8763 0.2608
Dy 0.1448 0.8714 0.5000
Dy 0.6673 0.1183 0.5000
Dy 0.4884 0.8763 0.7392
Dy 0.9884 0.1237 0.7608
Tl 0.1538 0.3614 0.0000
Tl 0.6538 0.6386 0.5000

***

Entry 4:
Nd9Dy4Tl11 | GGA-PBE | relaxed

Output
D(E_F)	1.0119	states/eV/atom
calculated formation energy	-0.301	eV per atom
size of the total moment	0.36	μB/f.u.
calculated volume	705.5	Å³/cell

Unit cell a=3.5713 b=14.1702 c=14.1702 alpha=100.34 beta=90.00 gamma=90.00
Element x y z (fractional)
Nd 0.5000 0.6247 0.1416
Nd 0.5000 0.3753 0.8584
Nd 0.5000 0.1416 0.6247
Nd 0.5000 0.8584 0.3753
Nd 0.5000 0.7920 0.9652
Nd 0.5000 0.2080 0.0348
Nd 0.5000 0.9652 0.7920
Nd 0.5000 0.0348 0.2080
Nd 0.5000 0.5000 0.5000
Dy 0.5000 0.5671 0.7356
Dy 0.5000 0.4329 0.2644
Dy 0.5000 0.7356 0.5671
Dy 0.5000 0.2644 0.4329
Tl 0.0000 0.5817 0.9299
Tl 0.0000 0.4183 0.0701
Tl 0.0000 0.9299 0.5817
Tl 0.0000 0.0701 0.4183
Tl 0.0000 0.6349 0.3651
Tl 0.0000 0.3651 0.6349
Tl 0.0000 0.8307 0.1693
Tl 0.0000 0.1693 0.8307
Tl 0.0000 0.0000 0.0000
Tl 0.0000 0.7601 0.7601
Tl 0.0000 0.2399 0.2399

***

Entry 5:
Nd2DyTl | GGA-PBE | relaxed

Output
D(E_F)	1.1024	states/eV/atom
calculated formation energy	-0.172	eV per atom
size of the total moment	0.00	μB/f.u.
E above lowest polymorph	23	meV/atom
calculated volume	248.2	Å³/cell

Unit cell a=6.8579 b=6.9296 c=6.9296 alpha=72.96 beta=60.34 gamma=60.34
Element x y z (fractional)
Nd 0.2017 0.2983 0.7983
Nd 0.2983 0.7017 0.2017
Nd 0.7983 0.7017 0.2017
Nd 0.7017 0.2983 0.7983
Dy 0.7500 0.1836 0.3164
Dy 0.2500 0.8164 0.6836
Tl 0.2500 0.1992 0.3008
Tl 0.7500 0.8008 0.6992

***

Entry 6:
NdDy2Tl | GGA-PBE | relaxed

Output
D(E_F)	1.0542	states/eV/atom
calculated formation energy	-0.160	eV per atom
size of the total moment	0.00	μB/f.u.
E above lowest polymorph	25	meV/atom
calculated volume	252.6	Å³/cell

Unit cell a=4.8492 b=4.7469 c=11.2299 alpha=102.26 beta=90.00 gamma=90.00
Element x y z (fractional)
Nd 0.2500 0.3065 0.6140
Nd 0.7500 0.6935 0.3860
Dy 0.7500 0.4432 0.8859
Dy 0.2500 0.5568 0.1141
Dy 0.2500 0.9361 0.8720
Dy 0.7500 0.0639 0.1280
Tl 0.7500 0.8366 0.6756
Tl 0.2500 0.1634 0.3244

***

Entry 7:
Nd4Dy9Tl11 | GGA-PBE | relaxed

Output
D(E_F)	1.0097	states/eV/atom
calculated formation energy	-0.276	eV per atom
size of the total moment	0.00	μB/f.u.
calculated volume	680.2	Å³/cell

Unit cell a=3.5817 b=14.2135 c=14.2135 alpha=109.93 beta=90.00 gamma=90.00
Element x y z (fractional)
Nd 0.5000 0.5883 0.7508
Nd 0.5000 0.4117 0.2492
Nd 0.5000 0.7508 0.5883
Nd 0.5000 0.2492 0.4117
Dy 0.5000 0.6124 0.1609
Dy 0.5000 0.3876 0.8391
Dy 0.5000 0.1609 0.6124
Dy 0.5000 0.8391 0.3876
Dy 0.5000 0.7970 0.9879
Dy 0.5000 0.2030 0.0121
Dy 0.5000 0.9879 0.7970
Dy 0.5000 0.0121 0.2030
Dy 0.5000 0.5000 0.5000
Tl 0.0000 0.5912 0.9552
Tl 0.0000 0.4088 0.0448
Tl 0.0000 0.9552 0.5912
Tl 0.0000 0.0448 0.4088
Tl 0.0000 0.6240 0.3760
Tl 0.0000 0.3760 0.6240
Tl 0.0000 0.8118 0.1882
Tl 0.0000 0.1882 0.8118
Tl 0.0000 0.0000 0.0000
Tl 0.0000 0.7960 0.7960
Tl 0.0000 0.2040 0.2040

***

Entry 8:
Nd4Dy3Tl2 | GGA-PBE | relaxed

Output
D(E_F)	1.5297	states/eV/atom
calculated formation energy	-0.105	eV per atom
size of the total moment	0.00	μB/f.u.
calculated volume	574.6	Å³/cell

Unit cell a=6.6690 b=9.5564 c=9.5564 alpha=83.60 beta=76.46 gamma=76.46
Element x y z (fractional)
Nd 0.4772 0.8336 0.2770
Nd 0.0228 0.7230 0.1664
Nd 0.5228 0.1664 0.7230
Nd 0.9772 0.2770 0.8336
Nd 0.1696 0.1236 0.4895
Nd 0.3304 0.5105 0.8764
Nd 0.8304 0.8764 0.5105
Nd 0.6696 0.4895 0.1236
Dy 0.0518 0.0857 0.1550
Dy 0.4482 0.8450 0.9143
Dy 0.9482 0.9143 0.8450
Dy 0.5518 0.1550 0.0857
Dy 0.2500 0.4890 0.5110
Dy 0.7500 0.5110 0.4890
Tl 0.6500 0.2189 0.3833
Tl 0.8500 0.6167 0.7811
Tl 0.3500 0.7811 0.6167
Tl 0.1500 0.3833 0.2189

***

Entry 9:
Nd6DyTl3 | GGA-PBE | relaxed

Output
D(E_F)	1.1566	states/eV/atom
calculated formation energy	-0.176	eV per atom
size of the total moment	0.00	μB/f.u.
calculated volume	638.3	Å³/cell

Unit cell a=5.5240 b=12.9852 c=12.1003 alpha=132.66 beta=90.00 gamma=90.00
Element x y z (fractional)
Nd 0.7500 0.5329 0.6294
Nd 0.2500 0.4671 0.3706
Nd 0.7500 0.7956 0.0339
Nd 0.2500 0.2044 0.9661
Nd 0.7500 0.4374 0.0806
Nd 0.2500 0.5626 0.9194
Nd 0.7500 0.8027 0.3319
Nd 0.2500 0.1973 0.6681
Nd 0.7500 0.1354 0.3995
Nd 0.2500 0.8646 0.6005
Nd 0.7500 0.9397 0.8606
Nd 0.2500 0.0603 0.1394
Dy 0.7500 0.0959 0.7167
Dy 0.2500 0.9041 0.2833
Tl 0.7500 0.3912 0.7759
Tl 0.2500 0.6088 0.2241
Tl 0.7500 0.6689 0.4808
Tl 0.2500 0.3311 0.5192
Tl 0.7500 0.2631 0.2058
Tl 0.2500 0.7369 0.7942

***

Entry 10:
Nd2Dy2Tl7 | GGA-PBE | relaxed

Output
D(E_F)	0.7028	states/eV/atom
calculated formation energy	0.047	eV per atom
size of the total moment	0.00	μB/f.u.
calculated volume	368.3	Å³/cell

Unit cell a=6.9237 b=7.9187 c=6.9237 alpha=90.00 beta=104.05 gamma=90.00
Element x y z (fractional)
Nd 0.6960 0.0000 0.3040
Nd 0.3040 0.0000 0.6960
Dy 0.8068 0.5000 0.8068
Dy 0.1932 0.5000 0.1932
Tl 0.9998 0.2987 0.5003
Tl 0.5003 0.7013 0.9998
Tl 0.0002 0.7013 0.4997
Tl 0.4997 0.2987 0.0002
Tl 0.0000 0.0000 0.0000
Tl 0.5002 0.7031 0.4998
Tl 0.4998 0.2969 0.5002

***

Entry 11:
Nd2Dy4Tl | GGA-PBE | relaxed

Output
D(E_F)	1.1904	states/eV/atom
calculated formation energy	-0.008	eV per atom
size of the total moment	0.00	μB/f.u.
E above lowest polymorph	43	meV/atom
calculated volume	440.6	Å³/cell

Unit cell a=5.8232 b=6.7157 c=11.6947 alpha=90.00 beta=105.54 gamma=90.00
Element x y z (fractional)
Nd 0.5575 0.7500 0.0252
Nd 0.4425 0.2500 0.9748
Nd 0.2652 0.2500 0.4277
Nd 0.7348 0.7500 0.5723
Dy 0.6280 0.4914 0.2867
Dy 0.9728 0.7500 0.8700
Dy 0.0272 0.2500 0.1300
Dy 0.6280 0.0086 0.2867
Dy 0.8537 0.2500 0.5675
Dy 0.3720 0.9914 0.7133
Dy 0.3720 0.5086 0.7133
Dy 0.1463 0.7500 0.4325
Tl 0.1248 0.7500 0.1623
Tl 0.8752 0.2500 0.8377

***

Entry 12:
Nd4Dy5Tl2 | GGA-PBE | relaxed

Output
D(E_F)	1.3864	states/eV/atom
calculated formation energy	0.229	eV per atom
size of the total moment	0.00	μB/f.u.
calculated volume	384.3	Å³/cell

Unit cell a=5.2513 b=5.2513 c=16.3729 alpha=80.77 beta=80.77 gamma=60.00
Element x y z (fractional)
Nd 0.7238 0.7238 0.8287
Nd 0.5735 0.5735 0.2794
Nd 0.4265 0.4265 0.7206
Nd 0.2762 0.2762 0.1713
Dy 0.8010 0.8010 0.5969
Dy 0.6488 0.6488 0.0537
Dy 0.5000 0.5000 0.5000
Dy 0.3512 0.3512 0.9463
Dy 0.1990 0.1990 0.4031
Tl 0.1255 0.1255 0.6235
Tl 0.8745 0.8745 0.3765